# 1
In7Sn2Hg2: relaxed, PBE.

Values from the calculation:
Its relative energy among the computed polymorphs is 0.00 kcal/mol of atoms. The value obtained for the volume is 306.6 Å³/cell. The value obtained for the total energy is -27.24 eV for the cell shown.

```
In7Sn2Hg2
1.0
-1.006 -5.101 -3.815
-2.058 -2.439 5.604
-5.757 5.285 -2.136
Hg In Sn
2 7 2
direct
0.267 0.733 0.500
0.733 0.267 0.500
0.108 0.475 0.845
0.525 0.892 0.155
0.000 0.000 0.000
0.892 0.525 0.155
0.826 0.826 0.565
0.475 0.108 0.845
0.174 0.174 0.435
0.575 0.575 0.783
0.425 0.425 0.217
```

# 2
Ba2SrTb: relaxed, PBE.

Values from the calculation:
Its relative energy among the computed polymorphs is 0.00 kcal/mol of atoms. The value obtained for the volume is 203.9 Å³/cell. The value obtained for the total energy is -9.48 eV for the cell shown.

```
Ba2SrTb
1.0
-1.403 -0.173 -4.215
3.925 -1.680 -1.238
-3.585 -9.541 1.584
Tb Sr Ba
1 1 2
direct
0.500 0.500 0.000
0.500 0.500 0.500
0.000 0.000 0.218
0.000 0.000 0.782
```